Compound: ZrZnMo2
Source: Alexandria via LeMat-Bulk
Functional: PBE-GGA
Structure: relaxed

Values from the calculation:
formation enthalpy at 0 K	0.62	eV/atom
total energy	-7.25	eV/atom
DOS at the Fermi energy	0.795	states/eV/atom
volume	145.2	Å³ per cell

```
8
Lattice="7.417 0.000 0.000 0.000 7.417 0.000 3.708 3.708 2.640" Properties=species:S:1:pos:R:3 pbc="T T T"
Zn 3.708 7.417 1.320
Zn 3.708 3.708 0.000
Mo 5.563 5.788 1.980
Mo 2.079 5.563 0.660
Mo 9.271 9.046 1.980
Mo 5.337 1.854 0.660
Zr 0.000 0.000 0.000
Zr 7.417 3.708 1.320
```